No. 1
TbCe2Er3Se6 after structural relaxation, computed with PBE.

Unit cell a=7.0610 b=7.0610 c=7.1838 alpha=99.44 beta=99.44 gamma=120.10
Fractional positions:
Tb 0.0000 0.0000 0.0000
Ce 0.3337 0.6663 0.0000
Ce 0.6663 0.3337 0.0000
Er 0.1670 0.8330 0.5000
Er 0.5000 0.5000 0.5000
Er 0.8330 0.1670 0.5000
Se 0.0871 0.4161 0.2619
Se 0.2413 0.2413 0.7377
Se 0.4161 0.0871 0.2619
Se 0.5839 0.9129 0.7381
Se 0.7587 0.7587 0.2623
Se 0.9129 0.5839 0.7381

The formation energy from raw total energies comes out at -1.7606 eV per atom. The calculation puts the density of states at the Fermi level at 14.00 states/eV/cell. For the theoretical density, the calculation gives 8.026 g cm⁻³. The space-group type is C2/m.



No. 2
CsTmSn2 after structural relaxation, computed with PBE.

Unit cell a=4.0627 b=4.0627 c=8.5055 alpha=90.00 beta=90.00 gamma=90.00
Fractional positions:
Cs 0.0000 0.0000 0.0000
Tm 0.0000 0.0000 0.5000
Sn 0.5000 0.5000 0.3281
Sn 0.5000 0.5000 0.6719

The calculation puts the density of states at the Fermi level at 1.37 states/eV/cell. For the theoretical density, the calculation gives 6.378 g cm⁻³. The space-group type is P4/mmm. The formation enthalpy at 0 K comes out at -399 meV per atom.



No. 3
LaY3Au2 after structural relaxation, computed with PBE.

Unit cell a=5.0271 b=9.1045 c=7.2482 alpha=90.00 beta=90.00 gamma=90.00
Fractional positions:
La 0.0000 0.0769 0.0000
La 0.0000 0.9231 0.5000
Y 0.0000 0.3350 0.6377
Y 0.0000 0.6650 0.1377
Y 0.5000 0.1716 0.3410
Y 0.5000 0.4299 0.9769
Y 0.5000 0.5701 0.4769
Y 0.5000 0.8284 0.8410
Au 0.0000 0.3540 0.2378
Au 0.0000 0.6460 0.7378
Au 0.5000 0.1593 0.7431
Au 0.5000 0.8407 0.2431

The calculation puts the density of states at the Fermi level at 13.61 states/eV/cell. For the theoretical density, the calculation gives 8.004 g cm⁻³. The space-group type is Pmc2_1. The formation enthalpy at 0 K comes out at -612 meV per atom.



No. 4
Pa3Ga3Ru2Rh after structural relaxation, computed with PBE.

Unit cell a=7.0606 b=7.0606 c=3.9641 alpha=90.00 beta=90.00 gamma=120.00
Fractional positions:
Pa 0.0000 0.5825 0.0000
Pa 0.4175 0.4175 0.0000
Pa 0.5825 0.0000 0.0000
Ga 0.0000 0.2423 0.5000
Ga 0.2423 0.0000 0.5000
Ga 0.7577 0.7577 0.5000
Ru 0.3333 0.6667 0.5000
Ru 0.6667 0.3333 0.5000
Rh 0.0000 0.0000 0.0000

The calculation puts the density of states at the Fermi level at 9.46 states/eV/cell. For the theoretical density, the calculation gives 11.714 g cm⁻³. The space-group type is P-62m. The formation enthalpy at 0 K comes out at -690 meV per atom.



No. 5
NaPdBr3 after structural relaxation, computed with PBE.

Unit cell a=7.8719 b=4.7234 c=8.3986 alpha=90.00 beta=106.26 gamma=90.00
Fractional positions:
Na 0.0451 0.2500 0.2648
Na 0.9549 0.7500 0.7352
Pd 0.4906 0.2500 0.7676
Pd 0.5094 0.7500 0.2324
Br 0.1646 0.2500 0.6504
Br 0.1858 0.7500 0.1070
Br 0.4948 0.2500 0.3206
Br 0.5052 0.7500 0.6794
Br 0.8142 0.2500 0.8930
Br 0.8354 0.7500 0.3496

The formation energy from raw total energies comes out at -0.7303 eV per atom. The calculation puts the density of states at the Fermi level at 1.83 states/eV/cell. The calculation puts the offset from the most stable computed form at 0.051 eV per atom. For the theoretical density, the calculation gives 4.089 g cm⁻³. The space-group type is P2_1/m.



No. 6
ThZn2Pt6 after structural relaxation, computed with PBE.

Unit cell a=8.0161 b=8.0161 c=8.0161 alpha=60.00 beta=60.00 gamma=60.00
Fractional positions:
Th 0.1250 0.1250 0.1250
Th 0.8750 0.8750 0.8750
Zn 0.0000 0.5000 0.5000
Zn 0.5000 0.0000 0.5000
Zn 0.5000 0.5000 0.0000
Zn 0.5000 0.5000 0.5000
Pt 0.1176 0.1176 0.6324
Pt 0.1176 0.6324 0.1176
Pt 0.1176 0.6324 0.6324
Pt 0.3676 0.3676 0.8824
Pt 0.3676 0.8824 0.3676
Pt 0.3676 0.8824 0.8824
Pt 0.6324 0.1176 0.1176
Pt 0.6324 0.1176 0.6324
Pt 0.6324 0.6324 0.1176
Pt 0.8824 0.3676 0.3676
Pt 0.8824 0.3676 0.8824
Pt 0.8824 0.8824 0.3676

The calculation puts the density of states at the Fermi level at 4.95 states/eV/cell. For the theoretical density, the calculation gives 13.982 g cm⁻³. The space-group type is Fd-3m. The formation enthalpy at 0 K comes out at -424 meV per atom.



No. 7
Na2Ag3Br8 after structural relaxation, computed with PBE.

Unit cell a=7.9711 b=7.9711 c=7.9661 alpha=103.00 beta=103.00 gamma=57.15
Fractional positions:
Na 0.2350 0.2350 0.1675
Na 0.7650 0.7650 0.8325
Ag 0.2482 0.7518 0.5000
Ag 0.5000 0.5000 0.0000
Ag 0.7518 0.2482 0.5000
Br 0.1282 0.1282 0.4756
Br 0.1507 0.6296 0.0820
Br 0.3704 0.8493 0.9180
Br 0.3752 0.3752 0.5358
Br 0.6248 0.6248 0.4642
Br 0.6296 0.1507 0.0820
Br 0.8493 0.3704 0.9180
Br 0.8718 0.8718 0.5244

The formation energy from raw total energies comes out at -0.6030 eV per atom. The calculation puts the density of states at the Fermi level at 8.06 states/eV/cell. For the theoretical density, the calculation gives 4.075 g cm⁻³. The space-group type is C2/m.



No. 8
KInO2F after structural relaxation, computed with PBE.

Unit cell a=4.8041 b=4.8041 c=4.7616 alpha=90.00 beta=90.00 gamma=90.00
Fractional positions:
K 0.0000 0.0000 0.0000
In 0.5000 0.5000 0.5000
O 0.0000 0.5000 0.0000
O 0.5000 0.0000 0.0000
F 0.0000 0.0000 0.5000

The formation energy from raw total energies comes out at -0.1670 eV per atom. The calculation puts the density of states at the Fermi level at 7.15 states/eV/cell. For the theoretical density, the calculation gives 3.096 g cm⁻³. The space-group type is P4/mmm.